No. 1
A PBEsol-optimized structure of FePt2W, computed with SCAN.

The total energy comes out at -228.74 eV for the cell shown.

CIF file:
```
data_FePt2W
_chemical_formula_sum 'Fe1 Pt2 W1'
_space_group_name_H-M_alt 'P 1'
_space_group_IT_number 1
_space_group_name_Hall 'P 1'
_cell_length_a 2.747
_cell_length_b 2.747
_cell_length_c 8.942
_cell_angle_alpha 81.16
_cell_angle_beta 81.16
_cell_angle_gamma 60.00
loop_
_atom_site_label
_atom_site_fract_x
_atom_site_fract_y
_atom_site_fract_z
Fe1 0.000 0.000 0.000
Pt1 0.252 0.252 0.243
W1 0.500 0.500 0.500
Pt2 0.748 0.748 0.757
```


No. 2
A PBEsol-optimized structure of FePt2W, computed with SCAN.

The total energy comes out at -229.52 eV for the cell shown.

CIF file:
```
data_FePt2W
_chemical_formula_sum 'Fe1 Pt2 W1'
_space_group_name_H-M_alt 'P 1'
_space_group_IT_number 1
_space_group_name_Hall 'P 1'
_cell_length_a 2.700
_cell_length_b 4.375
_cell_length_c 4.809
_cell_angle_alpha 90.00
_cell_angle_beta 90.00
_cell_angle_gamma 90.00
loop_
_atom_site_label
_atom_site_fract_x
_atom_site_fract_y
_atom_site_fract_z
Pt1 0.000 0.000 0.047
Pt2 0.000 0.500 0.708
Fe1 0.500 0.500 0.213
W1 0.500 0.000 0.532
```


No. 3
A PBEsol-optimized structure of FePt2W, computed with SCAN.

The total energy comes out at -229.46 eV for the cell shown.

CIF file:
```
data_FePt2W
_chemical_formula_sum 'Fe1 Pt2 W1'
_space_group_name_H-M_alt 'P 1'
_space_group_IT_number 1
_space_group_name_Hall 'P 1'
_cell_length_a 3.769
_cell_length_b 3.769
_cell_length_c 4.763
_cell_angle_alpha 113.31
_cell_angle_beta 113.31
_cell_angle_gamma 90.00
loop_
_atom_site_label
_atom_site_fract_x
_atom_site_fract_y
_atom_site_fract_z
Fe1 0.500 0.500 0.000
W1 0.000 0.000 0.000
Pt1 0.250 0.750 0.500
Pt2 0.750 0.250 0.500
```


No. 4
A PBEsol-optimized structure of Fe2PtW, computed with SCAN.

The total energy comes out at -176.06 eV for the cell shown. The relative energy among the computed polymorphs comes out at 169 meV/atom.

CIF file:
```
data_Fe2PtW
_chemical_formula_sum 'Fe2 Pt1 W1'
_space_group_name_H-M_alt 'P 1'
_space_group_IT_number 1
_space_group_name_Hall 'P 1'
_cell_length_a 3.521
_cell_length_b 3.765
_cell_length_c 3.765
_cell_angle_alpha 90.00
_cell_angle_beta 90.00
_cell_angle_gamma 90.00
loop_
_atom_site_label
_atom_site_fract_x
_atom_site_fract_y
_atom_site_fract_z
Pt1 0.500 0.500 0.500
Fe1 0.000 0.000 0.500
W1 0.500 0.000 0.000
Fe2 0.000 0.500 0.000
```


No. 5
A PBEsol-optimized structure of Fe2PtW, computed with SCAN.

The total energy comes out at -176.65 eV for the cell shown. The relative energy among the computed polymorphs comes out at 22 meV/atom.

CIF file:
```
data_Fe2PtW
_chemical_formula_sum 'Fe2 Pt1 W1'
_space_group_name_H-M_alt 'P 1'
_space_group_IT_number 1
_space_group_name_Hall 'P 1'
_cell_length_a 2.773
_cell_length_b 2.773
_cell_length_c 6.816
_cell_angle_alpha 90.00
_cell_angle_beta 90.00
_cell_angle_gamma 90.00
loop_
_atom_site_label
_atom_site_fract_x
_atom_site_fract_y
_atom_site_fract_z
Pt1 0.000 0.000 0.482
W1 0.500 0.500 0.776
Fe1 0.500 0.500 0.221
Fe2 0.000 0.000 0.021
```


No. 6
A PBEsol-optimized structure of Fe2PtW, computed with SCAN.

The total energy comes out at -176.38 eV for the cell shown. The relative energy among the computed polymorphs comes out at 88 meV/atom.

CIF file:
```
data_Fe2PtW
_chemical_formula_sum 'Fe2 Pt1 W1'
_space_group_name_H-M_alt 'P 1'
_space_group_IT_number 1
_space_group_name_Hall 'P 1'
_cell_length_a 3.763
_cell_length_b 3.763
_cell_length_c 4.513
_cell_angle_alpha 114.64
_cell_angle_beta 114.64
_cell_angle_gamma 90.00
loop_
_atom_site_label
_atom_site_fract_x
_atom_site_fract_y
_atom_site_fract_z
Fe1 0.750 0.250 0.500
Pt1 0.500 0.500 0.000
Fe2 0.250 0.750 0.500
W1 0.000 0.000 0.000
```


Looking at energy of formation for the records above, in order, we have -134; -330; -314; 21; -127; -60 meV per atom.